--- i ---
YSiAsSe2 | PBE | optimized geometry

Cell lengths 5.384, 5.384, 5.460 Å; angles 90.00, 90.00, 90.00 degrees
Space group P4/mmm (No. 123)
Symmetry-distinct sites (fractional):
Y 0.000 0.000 0.000 x1
Si 0.500 0.500 0.500 x1
As 0.000 0.000 0.500 x1
Se 0.000 0.500 0.000 x2

=====

--- ii ---
YSiAsSe2 | PBE | optimized geometry

Cell lengths 4.871, 4.871, 4.794 Å; angles 90.00, 90.00, 90.00 degrees
Space group P4/mmm (No. 123)
Symmetry-distinct sites (fractional):
Y 0.000 0.000 0.000 x1
Si 0.500 0.500 0.500 x1
As 0.500 0.500 0.000 x1
Se 0.000 0.500 0.500 x2

=====

It is ii that is most stable; the runner-up trails by 660 meV/atom.

=====

--- i ---
ZrSiAs2Se | PBE | optimized geometry

Cell lengths 4.707, 4.707, 4.821 Å; angles 90.00, 90.00, 90.00 degrees
Space group P4/mmm (No. 123)
Symmetry-distinct sites (fractional):
Zr 0.000 0.000 0.000 x1
Si 0.500 0.500 0.500 x1
As 0.000 0.500 0.500 x2
Se 0.500 0.500 0.000 x1

=====

--- ii ---
ZrSiAs2Se | PBE | optimized geometry

Cell lengths 5.215, 5.215, 5.108 Å; angles 90.00, 90.00, 90.00 degrees
Space group P4/mmm (No. 123)
Symmetry-distinct sites (fractional):
Zr 0.000 0.000 0.000 x1
Si 0.500 0.500 0.500 x1
As 0.000 0.500 0.000 x2
Se 0.000 0.000 0.500 x1

=====

It is i that is most stable; the runner-up trails by 149 meV/atom.

=====

--- i ---
SmAsSe3 | PBE | optimized geometry

Cell lengths 7.152, 3.855, 20.031 Å; angles 90.00, 90.00, 90.00 degrees
Space group Pnma (No. 62)
Symmetry-distinct sites (fractional):
Sm 0.233 0.250 0.190 x4
As 0.217 0.750 0.502 x4
Se 0.013 0.750 0.267 x4
Se 0.060 0.250 0.424 x4
Se 0.113 0.750 0.082 x4

=====

--- ii ---
SmAsSe3 | PBE | optimized geometry

Cell lengths 7.1383, 7.1383, 20.1685 Å; angles 90.00, 90.00, 120.00 degrees
Space group R-3 (No. 148, hexagonal axes)
Symmetry-distinct sites (fractional):
Sm 0.0000 0.0000 0.1394 x6
As 0.0000 0.0000 0.3083 x6
Se 0.0164 0.6237 0.9109 x18

=====

It is i that is most stable; the runner-up trails by 36 meV/atom.

=====

--- i ---
Sm2AsSe | PBE | optimized geometry

Cell lengths 4.194, 5.928, 8.423 Å; angles 90.00, 90.00, 90.00 degrees
Space group Pmmn (No. 59, origin choice 2)
Symmetry-distinct sites (fractional):
Sm 0.250 0.250 0.117 x2
Sm 0.250 0.250 0.636 x2
As 0.250 0.750 0.126 x2
Se 0.250 0.750 0.622 x2

=====

--- ii ---
Sm2AsSe | PBE | optimized geometry

Cell lengths 4.193, 4.193, 5.927 Å; angles 90.00, 90.00, 90.00 degrees
Space group P4/mmm (No. 123)
Symmetry-distinct sites (fractional):
Sm 0.000 0.000 0.000 x1
Sm 0.500 0.500 0.500 x1
As 0.000 0.000 0.500 x1
Se 0.500 0.500 0.000 x1

=====

It is i that is most stable; the runner-up trails by 7 meV/atom.

=====

--- i ---
Sm2AsSe | PBE | optimized geometry

Cell lengths 4.1977, 4.1977, 20.5897 Å; angles 90.00, 90.00, 120.00 degrees
Space group R-3m (No. 166, hexagonal axes)
Symmetry-distinct sites (fractional):
Sm 0.0000 0.0000 0.2464 x6
As 0.0000 0.0000 0.5000 x3
Se 0.0000 0.0000 0.0000 x3

=====

--- ii ---
Sm2AsSe | PBE | optimized geometry

Cell lengths 4.1188, 4.1188, 21.7373 Å; angles 90.00, 90.00, 120.00 degrees
Space group R3m (No. 160, hexagonal axes)
Symmetry-distinct sites (fractional):
Sm 0.0000 0.0000 0.0000 x3
Sm 0.0000 0.0000 0.1796 x3
As 0.0000 0.0000 0.5911 x3
Se 0.0000 0.0000 0.4219 x3

=====

It is i that is most stable; the runner-up trails by 79 meV/atom.

=====

--- i ---
Sn2AsSe4 | PBE | optimized geometry

Cell lengths 8.355, 13.777, 7.909 Å; angles 90.00, 119.70, 90.00 degrees
Space group Cc (No. 9)
Symmetry-distinct sites (fractional):
Sn 0.000 0.107 0.000 x4
Sn 0.481 0.136 0.000 x4
As 0.035 0.375 0.024 x4
Se 0.155 0.253 0.848 x4
Se 0.156 0.265 0.320 x4
Se 0.286 0.498 0.148 x4
Se 0.339 0.010 0.660 x4

=====

--- ii ---
Sn2AsSe4 | PBE | optimized geometry

Cell lengths 5.153, 5.153, 14.320 Å; angles 90.00, 90.00, 90.00 degrees
Space group I4/mmm (No. 139)
Symmetry-distinct sites (fractional):
Sn 0.000 0.000 0.129 x4
As 0.000 0.000 0.500 x2
Se 0.000 0.000 0.318 x4
Se 0.000 0.500 0.000 x4

=====

It is i that is most stable; the runner-up trails by 233 meV/atom.

=====

--- i ---
Sn2As2Se | PBE | optimized geometry

Cell lengths 3.906, 3.906, 16.296 Å; angles 90.00, 90.00, 90.00 degrees
Space group I4/mmm (No. 139)
Symmetry-distinct sites (fractional):
Sn 0.000 0.000 0.100 x4
As 0.000 0.500 0.250 x4
Se 0.000 0.000 0.500 x2

=====

--- ii ---
Sn2As2Se | PBE | optimized geometry

Cell lengths 5.330, 5.330, 8.797 Å; angles 90.00, 90.00, 90.00 degrees
Space group I4/mmm (No. 139)
Symmetry-distinct sites (fractional):
Sn 0.000 0.500 0.250 x4
As 0.000 0.000 0.141 x4
Se 0.000 0.000 0.500 x2

=====

--- iii ---
Sn2As2Se | PBE | optimized geometry

Cell lengths 7.857, 7.857, 3.911 Å; angles 90.00, 90.00, 90.00 degrees
Space group P4/mbm (No. 127)
Symmetry-distinct sites (fractional):
Sn 0.148 0.352 0.000 x4
As 0.169 0.669 0.500 x4
Se 0.000 0.000 0.500 x2

=====

It is i that is most stable; the runner-up trails by 15 meV/atom.

=====

--- i ---
TiSnAsSe2 | PBE | optimized geometry

Cell lengths 5.245, 5.245, 5.133 Å; angles 90.00, 90.00, 90.00 degrees
Space group P4/mmm (No. 123)
Symmetry-distinct sites (fractional):
Ti 0.000 0.000 0.000 x1
Sn 0.500 0.500 0.500 x1
As 0.500 0.500 0.000 x1
Se 0.000 0.500 0.500 x2

=====

--- ii ---
TiSnAsSe2 | PBE | optimized geometry

Cell lengths 4.963, 4.963, 4.989 Å; angles 90.00, 90.00, 90.00 degrees
Space group P4/mmm (No. 123)
Symmetry-distinct sites (fractional):
Ti 0.000 0.000 0.000 x1
Sn 0.500 0.500 0.500 x1
As 0.000 0.000 0.500 x1
Se 0.000 0.500 0.000 x2

=====

It is ii that is most stable; the runner-up trails by 902 meV/atom.

=====

--- i ---
YSnAsSe2 | PBE | optimized geometry

Cell lengths 5.414, 5.414, 5.445 Å; angles 90.00, 90.00, 90.00 degrees
Space group P4/mmm (No. 123)
Symmetry-distinct sites (fractional):
Y 0.000 0.000 0.000 x1
Sn 0.500 0.500 0.500 x1
As 0.000 0.000 0.500 x1
Se 0.000 0.500 0.000 x2

=====

--- ii ---
YSnAsSe2 | PBE | optimized geometry

Cell lengths 5.224, 5.224, 5.162 Å; angles 90.00, 90.00, 90.00 degrees
Space group P4/mmm (No. 123)
Symmetry-distinct sites (fractional):
Y 0.000 0.000 0.000 x1
Sn 0.500 0.500 0.500 x1
As 0.500 0.500 0.000 x1
Se 0.000 0.500 0.500 x2

=====

It is i that is most stable; the runner-up trails by 90 meV/atom.

=====

--- i ---
YSnAs2Se | PBE | optimized geometry

Cell lengths 5.417, 5.417, 5.406 Å; angles 90.00, 90.00, 90.00 degrees
Space group P4/mmm (No. 123)
Symmetry-distinct sites (fractional):
Y 0.000 0.000 0.000 x1
Sn 0.500 0.500 0.500 x1
As 0.000 0.500 0.000 x2
Se 0.000 0.000 0.500 x1

=====

--- ii ---
YSnAs2Se | PBE | optimized geometry

Cell lengths 5.154, 5.154, 5.273 Å; angles 90.00, 90.00, 90.00 degrees
Space group P4/mmm (No. 123)
Symmetry-distinct sites (fractional):
Y 0.000 0.000 0.000 x1
Sn 0.500 0.500 0.500 x1
As 0.000 0.500 0.500 x2
Se 0.500 0.500 0.000 x1

=====

It is i that is most stable; the runner-up trails by 32 meV/atom.

=====

--- i ---
ZrSnAsSe2 | PBE | optimized geometry

Cell lengths 5.140, 5.140, 5.147 Å; angles 90.00, 90.00, 90.00 degrees
Space group P4/mmm (No. 123)
Symmetry-distinct sites (fractional):
Zr 0.000 0.000 0.000 x1
Sn 0.500 0.500 0.500 x1
As 0.500 0.500 0.000 x1
Se 0.000 0.500 0.500 x2

=====

--- ii ---
ZrSnAsSe2 | PBE | optimized geometry

Cell lengths 5.196, 5.196, 5.277 Å; angles 90.00, 90.00, 90.00 degrees
Space group P4/mmm (No. 123)
Symmetry-distinct sites (fractional):
Zr 0.000 0.000 0.000 x1
Sn 0.500 0.500 0.500 x1
As 0.000 0.000 0.500 x1
Se 0.000 0.500 0.000 x2

=====

It is ii that is most stable; the runner-up trails by 783 meV/atom.

=====

--- i ---
Sr2AsSe | PBE | optimized geometry

Cell lengths 7.621, 7.621, 7.621 Å; angles 90.00, 90.00, 90.00 degrees
Space group F-43m (No. 216)
Symmetry-distinct sites (fractional):
Sr 0.000 0.000 0.000 x4
Sr 0.250 0.250 0.250 x4
As 0.000 0.000 0.500 x4
Se 0.250 0.250 0.750 x4

=====

--- ii ---
Sr2AsSe | PBE | optimized geometry

Cell lengths 4.988, 3.936, 12.209 Å; angles 90.00, 90.00, 90.00 degrees
Space group Amm2 (No. 38)
Symmetry-distinct sites (fractional):
Sr 0.000 0.000 0.000 x2
Sr 0.500 0.000 0.245 x2
As 0.500 0.000 0.503 x2
Se 0.000 0.000 0.742 x2

=====

--- iii ---
Sr2AsSe | PBE | optimized geometry

Cell lengths 3.915, 4.037, 16.038 Å; angles 90.00, 90.00, 90.00 degrees
Space group Imm2 (No. 44)
Symmetry-distinct sites (fractional):
Sr 0.000 0.000 0.000 x2
Sr 0.000 0.500 0.238 x2
As 0.000 0.000 0.397 x2
Se 0.000 0.500 0.652 x2

=====

It is iii that is most stable; the runner-up trails by 16 meV/atom.